12
Lattice="2.821 0.000 0.000 -1.410 2.443 0.000 0.000 0.000 24.494" Properties=species:S:1:pos:R:3 comment="PBE-GGA PIr3, relaxed" de_polymorph_kj_per_mol_atoms=0.0 delta_e_f_ev_per_atom=-0.03 total_energy_ev_per_fu=-32.095 pbc="T T T"
P 0.000 0.000 0.000
P 0.000 1.628 16.329
P 1.410 0.814 8.165
Ir 0.000 0.000 6.390
Ir 0.000 0.000 12.247
Ir 0.000 0.000 18.104
Ir 0.000 1.628 4.082
Ir 0.000 1.628 9.939
Ir 0.000 1.628 22.719
Ir 1.410 0.814 1.775
Ir 1.410 0.814 14.555
Ir 1.410 0.814 20.412

***

30
Lattice="5.273 0.000 0.000 0.000 5.273 0.000 0.000 0.000 18.186" Properties=species:S:1:pos:R:3 comment="PBE-GGA Mg2Zn12Cu, relaxed" delta_e_f_ev_per_atom=0.03 total_energy_ev_per_fu=-22.135 pbc="T T T"
Mg 1.318 3.955 4.297
Mg 1.318 3.955 13.889
Mg 3.955 1.318 4.297
Mg 3.955 1.318 13.889
Zn 0.001 5.272 7.371
Zn 5.272 0.001 10.815
Zn 5.272 2.636 7.371
Zn 0.001 2.638 10.815
Zn 0.403 3.039 1.172
Zn 0.403 4.871 17.014
Zn 1.318 1.318 2.965
Zn 1.318 1.318 5.453
Zn 1.318 1.318 12.733
Zn 1.318 1.318 15.221
Zn 2.234 3.039 17.014
Zn 2.234 4.871 1.172
Zn 2.638 0.001 7.371
Zn 2.636 5.272 10.815
Zn 2.636 2.638 7.371
Zn 2.638 2.636 10.815
Zn 3.039 0.403 17.014
Zn 3.039 2.234 1.172
Zn 3.955 3.955 2.965
Zn 3.955 3.955 5.453
Zn 3.955 3.955 12.733
Zn 3.955 3.955 15.221
Zn 4.871 0.403 1.172
Zn 4.871 2.234 17.014
Cu 1.318 3.955 9.093
Cu 3.955 1.318 9.093

***

N(E_F) / states/eV per atom: 0.99; 0.37